Record 1
Here is an optimized crystal structure of SrRhSe2 from Alexandria via LeMat-Bulk. Energies are from PBE-GGA.

Cell lengths 6.8377, 6.8377, 6.8377 Å; angles 34.60, 34.60, 34.60 degrees
With the nearest neighbours (Å) after each atom.
Fractional coordinates of all 4 atoms:
Rh 0.6711 0.6711 0.6711  6 Se 2.58-2.67
Se 0.0605 0.0605 0.0605  3 Rh 2.58
Se 0.2722 0.2722 0.2722  3 Rh 2.67
Sr 0.4962 0.4962 0.4962  6 Se 3.07-3.16, 1 Rh 3.37

Properties
**SG**: R3m, No. 160
**Energy above the most stable polymorph in this dataset**: 30 meV per atom
**Crystal system**: trigonal
**Density of states at the Fermi level**: 0.8104 states/eV per atom
**Total magnetization**: 0.00 μB/atom

---

Record 2
Here is an optimized crystal structure of SrURhSe4 from Alexandria via LeMat-Bulk. Energies are from PBE-GGA.

Cell lengths 6.7993, 6.0419, 8.6157 Å; angles 90.00, 105.02, 90.00 degrees
With the nearest neighbours (Å) after each atom.
Fractional coordinates of all 14 atoms:
Sr 0.7512 0.7500 0.9459  8 Se 3.00-3.31
Sr 0.2488 0.2500 0.0541  8 Se 3.00-3.31
U 0.7461 0.7500 0.4461  6 Se 2.81-3.07
U 0.2539 0.2500 0.5539  6 Se 2.81-3.07
Rh 0.2425 0.7500 0.3555  4 Se 2.37-2.51
Rh 0.7575 0.2500 0.6445  4 Se 2.37-2.51
Se 0.0301 0.5119 0.7319  1 Rh 2.40
Se 0.9699 0.0119 0.2681  1 Rh 2.40
Se 0.9699 0.4881 0.2681  1 Rh 2.40
Se 0.0301 0.9881 0.7319  1 Rh 2.40
Se 0.4419 0.7500 0.1480  1 Rh 2.51
Se 0.5581 0.2500 0.8520  1 Rh 2.51
Se 0.4516 0.7500 0.6219  1 Rh 2.37
Se 0.5484 0.2500 0.3781  1 Rh 2.37

Properties
**SG**: P2_1/m, No. 11
**Crystal system**: monoclinic
**Density of states at the Fermi level**: 1.0572 states/eV per atom
**Total DFT energy (no corrections)**: -0.2181 Ha/atom
**Total magnetization**: 0.16 μB/atom

---

Record 3
Here is an optimized crystal structure of TaRh2Se from Alexandria via LeMat-Bulk. Energies are from PBE-GGA.

Cell lengths 4.4646, 4.4646, 4.4646 Å; angles 60.00, 60.00, 60.00 degrees
With the nearest neighbours (Å) after each atom.
Fractional coordinates of all 4 atoms:
Rh 0.0000 0.0000 0.0000  4 Rh 2.73, 4 Ta 2.73
Rh 0.2500 0.2500 0.2500  4 Se 2.73, 4 Rh 2.73
Se 0.5000 0.5000 0.5000  4 Ta 2.73, 4 Rh 2.73
Ta 0.7500 0.7500 0.7500  4 Se 2.73, 4 Rh 2.73

Properties
**SG**: F-43m, No. 216
**Crystal system**: cubic
**Density of states at the Fermi level**: 1.1263 states/eV per atom
**Total DFT energy (no corrections)**: -0.2782 Ha/atom
**Total magnetization**: 0.00 μB/atom

---

Record 4
Here is an optimized crystal structure of Ta2RhSe from Alexandria via LeMat-Bulk. Energies are from PBE-GGA.

Cell lengths 4.0997, 4.0490, 4.0490 Å; angles 90.00, 90.00, 90.00 degrees
With the nearest neighbours (Å) after each atom.
Fractional coordinates of all 4 atoms:
Rh 0.5000 0.5000 0.0000  4 Se 2.86, 8 Ta 2.88
Se 0.5000 0.0000 0.5000  4 Rh 2.86, 8 Ta 2.88
Ta 0.0000 0.0000 0.0000  4 Ta 2.86, 4 Se 2.88, 4 Rh 2.88
Ta 0.0000 0.5000 0.5000  4 Ta 2.86, 4 Se 2.88, 4 Rh 2.88

Properties
**SG**: P4/mmm, No. 123
**Crystal system**: tetragonal
**Density of states at the Fermi level**: 0.5227 states/eV per atom
**Total DFT energy (no corrections)**: -0.3144 Ha/atom
**Total magnetization**: 0.00 μB/atom

---

Record 5
Here is an optimized crystal structure of TaRhSe3 from Alexandria via LeMat-Bulk. Energies are from PBE-GGA.

Cell lengths 3.5077, 6.1709, 11.8094 Å; angles 105.15, 90.00, 90.00 degrees
With the nearest neighbours (Å) after each atom.
Fractional coordinates of all 10 atoms:
Ta 0.2500 0.1200 0.6624  5 Se 2.57-2.62, 2 Rh 2.79
Ta 0.7500 0.4576 0.3376  5 Se 2.57-2.62, 2 Rh 2.79
Rh 0.2500 0.7427 0.2626  4 Se 2.42-2.49
Rh 0.7500 0.4801 0.7374  4 Se 2.42-2.49
Se 0.7500 0.8843 0.7399  1 Rh 2.49, 2 Ta 2.59
Se 0.7500 0.5447 0.1366  2 Rh 2.42, 1 Ta 2.57
Se 0.7500 0.2534 0.5303  1 Rh 2.48, 2 Ta 2.62
Se 0.2500 0.4080 0.8634  2 Rh 2.42, 1 Ta 2.57
Se 0.2500 0.1443 0.2601  1 Rh 2.49, 2 Ta 2.59
Se 0.2500 0.7231 0.4697  1 Rh 2.48, 2 Ta 2.62

Properties
**SG**: Ama2, No. 40
**Energy above the most stable polymorph in this dataset**: 0 meV per atom
**Crystal system**: orthorhombic
**Density of states at the Fermi level**: 0.7701 states/eV per atom
**Total magnetization**: 0.00 μB/atom

---

Record 6
Here is an optimized crystal structure of Ta2RhSe from Alexandria via LeMat-Bulk. Energies are from PBE-GGA.

Cell lengths 8.6286, 8.6286, 8.6286 Å; angles 20.32, 20.32, 20.32 degrees
With the nearest neighbours (Å) after each atom.
Fractional coordinates of all 4 atoms:
Rh 0.2500 0.2500 0.2500  6 Ta 2.79, 6 Rh 3.04
Se 0.7500 0.7500 0.7500  6 Ta 2.71
Ta 0.0021 0.0021 0.0021  3 Se 2.71, 3 Rh 2.79
Ta 0.4979 0.4979 0.4979  3 Se 2.71, 3 Rh 2.79

Properties
**SG**: R-3m, No. 166
**Crystal system**: trigonal
**Density of states at the Fermi level**: 1.0029 states/eV per atom
**Total DFT energy (no corrections)**: -0.3197 Ha/atom
**Total magnetization**: 0.00 μB/atom

---

Record 7
Here is an optimized crystal structure of TaRh2Se from Alexandria via LeMat-Bulk. Energies are from PBE-GGA.

Cell lengths 3.1420, 4.5710, 4.3587 Å; angles 90.00, 90.00, 90.00 degrees
With the nearest neighbours (Å) after each atom.
Fractional coordinates of all 4 atoms:
Rh 0.0000 0.0000 0.0000  4 Se 2.69, 4 Rh 2.77
Rh 0.5000 0.5000 0.0000  4 Ta 2.69, 4 Rh 2.77
Se 0.5000 0.0000 0.5000  4 Rh 2.69, 4 Ta 2.77
Ta 0.0000 0.5000 0.5000  4 Rh 2.69, 4 Se 2.77

Properties
**SG**: Pmmm, No. 47
**Crystal system**: orthorhombic
**Density of states at the Fermi level**: 0.7407 states/eV per atom
**Total DFT energy (no corrections)**: -0.2818 Ha/atom
**Total magnetization**: 0.00 μB/atom

---

Record 8
Here is an optimized crystal structure of TaRhSe6 from Alexandria via LeMat-Bulk. Energies are from PBE-GGA.

Cell lengths 6.2222, 6.3293, 7.0325 Å; angles 56.62, 55.97, 58.31 degrees
With the nearest neighbours (Å) after each atom.
Fractional coordinates of all 8 atoms:
Ta 0.5000 0.5000 0.5000  6 Se 2.48-2.64
Rh 0.0000 0.0000 0.0000  6 Se 2.52-2.53
Se 0.0322 0.4652 0.7547  1 Ta 2.48, 1 Rh 2.52
Se 0.6981 0.0789 0.8195  1 Se 2.51, 1 Rh 2.53, 1 Ta 2.59
Se 0.5749 0.1878 0.3159  1 Se 2.46, 1 Rh 2.52, 1 Ta 2.64
Se 0.3019 0.9211 0.1805  1 Se 2.51, 1 Rh 2.53, 1 Ta 2.59
Se 0.9678 0.5348 0.2453  1 Ta 2.48, 1 Rh 2.52
Se 0.4251 0.8122 0.6841  1 Se 2.46, 1 Rh 2.52, 1 Ta 2.64

Properties
**SG**: P-1, No. 2
**Crystal system**: triclinic
**Density of states at the Fermi level**: 0.4637 states/eV per atom
**Total DFT energy (no corrections)**: -0.1948 Ha/atom
**Total magnetization**: 0.00 μB/atom

---

Record 9
Here is an optimized crystal structure of TaRh2Se from Alexandria via LeMat-Bulk. Energies are from PBE-GGA.

Cell lengths 3.9955, 2.9704, 5.5568 Å; angles 74.59, 90.00, 90.00 degrees
With the nearest neighbours (Å) after each atom.
Fractional coordinates of all 4 atoms:
Rh 0.0000 0.0721 0.9817  1 Se 2.52, 4 Ta 2.78
Rh 0.5000 0.4353 0.2564  2 Se 2.42, 1 Ta 2.71
Se 0.0000 0.3051 0.5113  3 Rh 2.42-2.52
Ta 0.5000 0.6876 0.7505  6 Rh 2.71-3.03, 4 Se 2.80, 2 Ta 2.97

Properties
**SG**: Pm, No. 6
**Crystal system**: monoclinic
**Density of states at the Fermi level**: 0.6267 states/eV per atom
**Total DFT energy (no corrections)**: -0.2834 Ha/atom
**Total magnetization**: 0.00 μB/atom

---

Record 10
Here is an optimized crystal structure of TaRhSe4 from Alexandria via LeMat-Bulk. Energies are from PBE-GGA.

Cell lengths 5.5522, 7.3416, 7.2377 Å; angles 121.60, 90.00, 90.00 degrees
With the nearest neighbours (Å) after each atom.
Fractional coordinates of all 12 atoms:
Ta 0.0000 0.5000 0.5000  6 Se 2.55-2.57
Ta 0.5000 0.0000 0.5000  6 Se 2.55-2.57
Rh 0.5000 0.5000 0.0000  6 Se 2.53-2.58
Rh 0.0000 0.0000 0.0000  6 Se 2.53-2.58
Se 0.2093 0.8152 0.1762  2 Rh 2.55-2.58, 1 Ta 2.57
Se 0.2907 0.3152 0.1762  2 Rh 2.55-2.58, 1 Ta 2.57
Se 0.7814 0.6784 0.3227  1 Rh 2.53, 2 Ta 2.55-2.57
Se 0.2814 0.8216 0.6773  1 Rh 2.53, 2 Ta 2.55-2.57
Se 0.7186 0.1784 0.3227  1 Rh 2.53, 2 Ta 2.55-2.57
Se 0.2186 0.3216 0.6773  1 Rh 2.53, 2 Ta 2.55-2.57
Se 0.7093 0.6848 0.8238  2 Rh 2.55-2.58, 1 Ta 2.57
Se 0.7907 0.1848 0.8238  2 Rh 2.55-2.58, 1 Ta 2.57

Properties
**SG**: P2_1/c, No. 14
**Energy above the most stable polymorph in this dataset**: 130 meV per atom
**Crystal system**: monoclinic
**Density of states at the Fermi level**: 0.3983 states/eV per atom
**Total magnetization**: 0.00 μB/atom

---

Record 11
Here is an optimized crystal structure of TaRhSe from Alexandria via LeMat-Bulk. Energies are from PBE-GGA.

Cell lengths 5.5597, 5.5597, 3.1196 Å; angles 73.71, 73.71, 32.59 degrees
With the nearest neighbours (Å) after each atom.
Fractional coordinates of all 3 atoms:
Rh 0.0059 0.0060 0.9941  4 Ta 2.79, 4 Se 2.90, 4 Rh 3.12
Se 0.3212 0.3212 0.6788  4 Ta 2.68, 4 Rh 2.90
Ta 0.6728 0.6728 0.3272  4 Se 2.68, 4 Rh 2.79

Properties
**SG**: I4mm, No. 107
**Energy above the most stable polymorph in this dataset**: 54 meV per atom
**Crystal system**: tetragonal
**Density of states at the Fermi level**: 0.7950 states/eV per atom
**Total magnetization**: 0.00 μB/atom

---

Record 12
Here is an optimized crystal structure of TaRhSe4 from Alexandria via LeMat-Bulk. Energies are from PBE-GGA.

Cell lengths 3.5828, 5.8947, 7.1861 Å; angles 106.13, 90.00, 90.00 degrees
With the nearest neighbours (Å) after each atom.
Fractional coordinates of all 6 atoms:
Ta 0.0000 0.5000 0.5000  6 Se 2.59-2.61
Rh 0.5000 0.0000 0.5000  6 Se 2.53-2.54
Se 0.0000 0.2264 0.7257  2 Rh 2.53, 1 Ta 2.59
Se 0.0000 0.7736 0.2743  2 Rh 2.53, 1 Ta 2.59
Se 0.5000 0.7476 0.7347  1 Rh 2.54, 2 Ta 2.61
Se 0.5000 0.2524 0.2653  1 Rh 2.54, 2 Ta 2.61

Properties
**SG**: P2/m, No. 10
**Energy above the most stable polymorph in this dataset**: 0 meV per atom
**Crystal system**: monoclinic
**Density of states at the Fermi level**: 0.5106 states/eV per atom
**Total magnetization**: 0.00 μB/atom

---

Record 13
Here is an optimized crystal structure of TaRh2Se from Alexandria via LeMat-Bulk. Energies are from PBE-GGA.

Cell lengths 4.7519, 4.7519, 2.9743 Å; angles 90.00, 90.00, 108.89 degrees
With the nearest neighbours (Å) after each atom.
Fractional coordinates of all 4 atoms:
Rh 0.0000 0.0000 0.0000  4 Rh 2.76-2.97, 4 Se 2.80, 4 Ta 2.80
Rh 0.5000 0.5000 0.0000  4 Rh 2.76-2.97, 4 Ta 2.80, 4 Se 2.80
Se 0.5000 0.0000 0.5000  2 Ta 2.76, 8 Rh 2.80, 2 Se 2.97
Ta 0.0000 0.5000 0.5000  2 Se 2.76, 8 Rh 2.80, 2 Ta 2.97

Properties
**SG**: Cmmm, No. 65
**Crystal system**: orthorhombic
**Density of states at the Fermi level**: 0.9117 states/eV per atom
**Total DFT energy (no corrections)**: -0.2793 Ha/atom
**Total magnetization**: 0.00 μB/atom

---

Record 14
Here is an optimized crystal structure of Ta4RhSe from Alexandria via LeMat-Bulk. Energies are from PBE-GGA.

Cell lengths 5.4311, 5.4311, 5.4311 Å; angles 60.00, 60.00, 60.00 degrees
With the nearest neighbours (Å) after each atom.
Fractional coordinates of all 6 atoms:
Ta 0.8739 0.3754 0.3754  6 Ta 2.71-2.72
Ta 0.3754 0.3754 0.8739  6 Ta 2.71-2.72
Ta 0.3754 0.8739 0.3754  6 Ta 2.71-2.72
Ta 0.3754 0.3754 0.3754  6 Ta 2.71-2.72
Rh 0.7500 0.7500 0.7500  12 Ta 3.18, 4 Se 3.33
Se 0.0000 0.0000 0.0000  12 Ta 3.19, 4 Rh 3.33

Properties
**SG**: F-43m, No. 216
**Crystal system**: cubic
**Density of states at the Fermi level**: 0.9005 states/eV per atom
**Total DFT energy (no corrections)**: -0.3367 Ha/atom
**Total magnetization**: 0.00 μB/atom